[1]
The following is a PBE calculation of a relaxed NiSnAsBr2 crystal, from the Alexandria database.

Cell: 5.486 5.486 5.492 Å, 90.00 90.00 90.00°
Each line ends with the local moment (μB).
Fractional coordinates of all 5 atoms:
Ni (0.500, 0.500, 0.500)  1.04
As (0.000, 0.000, 0.500)  0.39
Sn (0.000, 0.000, 0.000)  -0.01
Br (0.000, 0.500, 0.000)  0.04
Br (0.500, 0.000, 0.000)  0.04

Relative energy among the computed polymorphs = 661 meV/atom
Calculated total energy = -14.04 eV for the cell shown
N(E_F) = 5.19 states/eV/cell
Uncorrected formation energy = 749 meV per atom
M_tot = 2.04 μB per formula unit

[2]
The following is a PBE calculation of a relaxed K2Ba2Pt crystal, from the Alexandria database.

Cell: 4.935 4.935 10.893 Å, 76.91 76.91 90.00°
Fractional coordinates of all 5 atoms:
K (0.427, 0.427, 0.147)
K (0.573, 0.573, 0.853)
Ba (0.750, 0.250, 0.500)
Ba (0.250, 0.750, 0.500)
Pt (0.000, 0.000, 0.000)

Relative energy among the computed polymorphs = 1020 meV/atom
Calculated total energy = -8.88 eV for the cell shown
N(E_F) = 7.67 states/eV/cell
M_tot = 0.04 μB per formula unit

[3]
The following is a PBE calculation of a relaxed NaAl2Ag3 crystal, from the Alexandria database.

Cell: 4.276 5.710 5.710 Å, 120.00 90.00 90.00°
Fractional coordinates of all 6 atoms:
Na (0.000, 0.000, 0.000)
Al (0.000, 0.667, 0.333)
Al (0.000, 0.333, 0.667)
Ag (0.500, 0.000, 0.500)
Ag (0.500, 0.500, 0.500)
Ag (0.500, 0.500, 0.000)

Relative energy among the computed polymorphs = 0 meV/atom
Calculated total energy = -17.83 eV for the cell shown
N(E_F) = 1.58 states/eV/cell
M_tot = 0.00 μB per formula unit

[4]
The following is a PBE calculation of a relaxed LaRe2Se crystal, from the Alexandria database.

Cell: 3.189 3.189 7.627 Å, 90.00 90.00 90.00°
Fractional coordinates of all 4 atoms:
La (0.500, 0.500, 0.760)
Re (0.000, 0.000, 0.050)
Re (0.500, 0.500, 0.233)
Se (0.000, 0.000, 0.458)

Calculated total energy = -33.10 eV for the cell shown
N(E_F) = 4.31 states/eV/cell
Uncorrected formation energy = 52 meV per atom
M_tot = 0.00 μB per formula unit

[5]
The following is a PBE calculation of a relaxed AlMoS2N crystal, from the Alexandria database.

Cell: 4.676 4.676 3.623 Å, 90.00 90.00 90.00°
Each line ends with the local moment (μB).
Fractional coordinates of all 5 atoms:
Mo (0.500, 0.500, 0.500)  2.96
N (0.000, 0.000, 0.500)  -0.73
S (0.000, 0.500, 0.000)  -0.18
S (0.500, 0.000, 0.000)  -0.18
Al (0.000, 0.000, 0.000)  0.02

Relative energy among the computed polymorphs = 364 meV/atom
Calculated total energy = -28.86 eV for the cell shown
N(E_F) = 1.09 states/eV/cell
Uncorrected formation energy = 460 meV per atom
M_tot = 1.93 μB per formula unit

[6]
The following is a PBE calculation of a relaxed As2PIr crystal, from the Alexandria database.

Cell: 4.290 3.914 3.914 Å, 90.00 90.00 90.00°
Fractional coordinates of all 4 atoms:
As (0.000, 0.000, 0.000)
As (0.000, 0.500, 0.500)
Ir (0.500, 0.500, 0.000)
P (0.500, 0.000, 0.500)

Calculated total energy = -21.36 eV for the cell shown
N(E_F) = 1.59 states/eV/cell
M_tot = 0.00 μB per formula unit